Sm2Dy3Cu3, relaxed, DFT PBE; calculated volume = 192 Å³ per cell; total magnetic moment = 0.00 μB per formula unit; E_form = -0.12 eV per atom; final energy = -4.57 eV/atom
1.0
-1.784 2.542 10.592
1.784 -2.542 10.592
1.784 2.542 -10.592
Sm Dy Cu
2 3 3
Direct
0.224 0.224 0.000 Sm
0.776 0.776 0.000 Sm
0.000 0.000 0.000 Dy
0.386 0.886 0.500 Dy
0.614 0.114 0.500 Dy
0.111 0.611 0.500 Cu
0.500 0.500 0.000 Cu
0.889 0.389 0.500 Cu

---

SmDyCu, relaxed, DFT PBE; calculated volume = 153 Å³ per cell; total magnetic moment = 0.00 μB per formula unit; E_form = -0.12 eV per atom; final energy = -4.59 eV/atom; excess energy over the best structure of this formula in the dataset = 16 meV/atom
1.0
3.715 0.000 0.000
0.000 4.654 0.000
-1.852 0.000 8.855
Sm Dy Cu
2 2 2
Direct
0.202 0.250 0.403 Sm
0.798 0.750 0.597 Sm
0.415 0.250 0.833 Dy
0.585 0.750 0.167 Dy
0.037 0.250 0.074 Cu
0.963 0.750 0.926 Cu

---

Sm2DyCu4, relaxed, DFT PBE; calculated volume = 145 Å³ per cell; total magnetic moment = 0.00 μB per formula unit; E_form = -0.18 eV per atom; final energy = -4.52 eV/atom
1.0
5.065 -2.213 0.000
5.065 2.213 0.000
-2.075 0.000 6.470
Sm Dy Cu
2 1 4
Direct
0.147 0.147 0.223 Sm
0.853 0.853 0.777 Sm
0.500 0.500 0.500 Dy
0.152 0.152 0.757 Cu
0.399 0.399 0.072 Cu
0.601 0.601 0.928 Cu
0.848 0.848 0.243 Cu

---

SmDyCu, relaxed, DFT PBE; calculated volume = 304 Å³ per cell; total magnetic moment = 0.00 μB per formula unit; E_form = -0.14 eV per atom; final energy = -4.61 eV/atom; excess energy over the best structure of this formula in the dataset = 0 meV/atom
1.0
6.995 0.000 0.000
0.000 4.945 0.000
0.000 0.000 8.779
Sm Dy Cu
4 4 4
Direct
0.014 0.250 0.174 Sm
0.486 0.750 0.674 Sm
0.514 0.250 0.326 Sm
0.986 0.750 0.826 Sm
0.142 0.250 0.585 Dy
0.358 0.750 0.085 Dy
0.642 0.250 0.915 Dy
0.858 0.750 0.415 Dy
0.245 0.250 0.901 Cu
0.255 0.750 0.401 Cu
0.745 0.250 0.599 Cu
0.755 0.750 0.099 Cu

---

SmDyCu, relaxed, DFT PBE; calculated volume = 80 Å³ per cell; total magnetic moment = 0.00 μB per formula unit; E_form = 0.04 eV per atom; final energy = -4.43 eV/atom; excess energy over the best structure of this formula in the dataset = 181 meV/atom
1.0
3.615 0.000 0.000
-1.807 3.130 0.000
0.000 0.000 7.075
Sm Dy Cu
1 1 1
Direct
0.000 0.000 0.000 Sm
0.333 0.667 0.577 Dy
0.667 0.333 0.297 Cu

---

SmDy3Cu2, relaxed, DFT PBE; calculated volume = 149 Å³ per cell; total magnetic moment = 0.00 μB per formula unit; E_form = -0.15 eV per atom; final energy = -4.61 eV/atom; excess energy over the best structure of this formula in the dataset = 0 meV/atom
1.0
3.494 0.000 0.000
0.000 3.494 0.000
0.000 0.000 12.177
Sm Dy Cu
1 3 2
Direct
0.000 0.000 0.000 Sm
0.500 0.500 0.219 Dy
0.500 0.500 0.500 Dy
0.500 0.500 0.781 Dy
0.000 0.000 0.358 Cu
0.000 0.000 0.642 Cu

---

Sm2DyCu, relaxed, DFT PBE; calculated volume = 448 Å³ per cell; total magnetic moment = 0.00 μB per formula unit; E_form = -0.08 eV per atom; final energy = -4.61 eV/atom; excess energy over the best structure of this formula in the dataset = 0 meV/atom
1.0
6.943 0.000 0.000
0.000 9.869 0.000
0.000 0.000 6.532
Sm Dy Cu
8 4 4
Direct
0.195 0.059 0.182 Sm
0.195 0.441 0.182 Sm
0.305 0.559 0.682 Sm
0.305 0.941 0.682 Sm
0.695 0.059 0.318 Sm
0.695 0.441 0.318 Sm
0.805 0.559 0.818 Sm
0.805 0.941 0.818 Sm
0.024 0.250 0.637 Dy
0.476 0.750 0.137 Dy
0.524 0.250 0.863 Dy
0.976 0.750 0.363 Dy
0.097 0.750 0.949 Cu
0.403 0.250 0.449 Cu
0.597 0.750 0.551 Cu
0.903 0.250 0.051 Cu

---

SmDy2Cu, relaxed, DFT PBE; calculated volume = 107 Å³ per cell; total magnetic moment = 0.00 μB per formula unit; E_form = -0.10 eV per atom; final energy = -4.61 eV/atom; excess energy over the best structure of this formula in the dataset = 0 meV/atom
1.0
3.514 0.000 0.000
0.000 3.514 0.000
0.000 0.000 8.674
Sm Dy Cu
1 2 1
Direct
0.000 0.000 0.000 Sm
0.500 0.500 0.306 Dy
0.500 0.500 0.694 Dy
0.000 0.000 0.500 Cu

---

Sm2DyCu, relaxed, DFT PBE; calculated volume = 222 Å³ per cell; total magnetic moment = 0.00 μB per formula unit; E_form = -0.04 eV per atom; final energy = -4.58 eV/atom; excess energy over the best structure of this formula in the dataset = 38 meV/atom
1.0
2.475 -5.828 0.000
2.475 5.828 0.000
0.000 0.000 7.685
Sm Dy Cu
4 2 2
Direct
0.145 0.855 0.531 Sm
0.145 0.855 0.969 Sm
0.855 0.145 0.031 Sm
0.855 0.145 0.469 Sm
0.457 0.543 0.750 Dy
0.543 0.457 0.250 Dy
0.300 0.700 0.250 Cu
0.700 0.300 0.750 Cu

---

SmDy2Cu3, relaxed, DFT PBE; calculated volume = 128 Å³ per cell; total magnetic moment = 0.00 μB per formula unit; E_form = -0.23 eV per atom; final energy = -4.60 eV/atom
1.0
3.484 0.000 0.000
0.000 3.484 0.000
0.000 0.000 10.518
Sm Dy Cu
1 2 3
Direct
0.000 0.000 0.000 Sm
0.000 0.000 0.336 Dy
0.000 0.000 0.664 Dy
0.500 0.500 0.175 Cu
0.500 0.500 0.500 Cu
0.500 0.500 0.825 Cu

---

SmDy2Cu, relaxed, DFT PBE; calculated volume = 217 Å³ per cell; total magnetic moment = 0.00 μB per formula unit; E_form = -0.06 eV per atom; final energy = -4.57 eV/atom; excess energy over the best structure of this formula in the dataset = 37 meV/atom
1.0
2.467 -5.842 0.000
2.467 5.842 0.000
0.000 0.000 7.527
Sm Dy Cu
2 4 2
Direct
0.047 0.953 0.750 Sm
0.953 0.047 0.250 Sm
0.351 0.649 0.531 Dy
0.351 0.649 0.969 Dy
0.649 0.351 0.031 Dy
0.649 0.351 0.469 Dy
0.201 0.799 0.250 Cu
0.799 0.201 0.750 Cu

---

SmDy2Cu, relaxed, DFT PBE; calculated volume = 112 Å³ per cell; total magnetic moment = 0.00 μB per formula unit; E_form = 0.03 eV per atom; final energy = -4.47 eV/atom; excess energy over the best structure of this formula in the dataset = 131 meV/atom
1.0
1.802 1.040 9.950
-1.802 1.040 9.950
0.000 -2.080 9.950
Sm Dy Cu
1 2 1
Direct
0.000 0.000 0.000 Sm
0.234 0.234 0.234 Dy
0.766 0.766 0.766 Dy
0.500 0.500 0.500 Cu

---

Sm2DyCu, relaxed, DFT PBE; calculated volume = 111 Å³ per cell; total magnetic moment = 0.00 μB per formula unit; E_form = -0.06 eV per atom; final energy = -4.59 eV/atom; excess energy over the best structure of this formula in the dataset = 20 meV/atom
1.0
3.578 0.000 0.000
0.000 3.578 0.000
0.000 0.000 8.631
Sm Dy Cu
2 1 1
Direct
0.000 0.000 0.201 Sm
0.000 0.000 0.799 Sm
0.500 0.500 0.500 Dy
0.500 0.500 0.000 Cu

---

Sm2DyCu9, relaxed, DFT PBE; calculated volume = 195 Å³ per cell; total magnetic moment = 0.00 μB per formula unit; E_form = -0.17 eV per atom; final energy = -4.41 eV/atom
1.0
2.589 1.495 8.419
-2.589 1.495 8.419
0.000 -2.989 8.419
Sm Dy Cu
2 1 9
Direct
0.141 0.141 0.141 Sm
0.859 0.859 0.859 Sm
0.000 0.000 0.000 Dy
0.082 0.580 0.580 Cu
0.332 0.332 0.332 Cu
0.420 0.420 0.918 Cu
0.420 0.918 0.420 Cu
0.500 0.500 0.500 Cu
0.580 0.082 0.580 Cu
0.580 0.580 0.082 Cu
0.668 0.668 0.668 Cu
0.918 0.420 0.420 Cu

---

SmDy3Cu4, relaxed, DFT PBE; calculated volume = 170 Å³ per cell; total magnetic moment = 0.00 μB per formula unit; E_form = -0.23 eV per atom; final energy = -4.60 eV/atom
1.0
4.937 0.000 0.000
0.000 4.937 0.000
0.000 0.000 6.958
Sm Dy Cu
1 3 4
Direct
0.000 0.000 0.000 Sm
0.000 0.000 0.500 Dy
0.500 0.500 0.000 Dy
0.500 0.500 0.500 Dy
0.000 0.500 0.256 Cu
0.000 0.500 0.744 Cu
0.500 0.000 0.256 Cu
0.500 0.000 0.744 Cu

---

SmDy2Cu, relaxed, DFT PBE; calculated volume = 113 Å³ per cell; total magnetic moment = 0.00 μB per formula unit; E_form = 0.03 eV per atom; final energy = -4.47 eV/atom; excess energy over the best structure of this formula in the dataset = 131 meV/atom
1.0
1.833 1.058 9.731
-1.833 1.058 9.731
0.000 -2.117 9.731
Sm Dy Cu
1 2 1
Direct
0.000 0.000 0.000 Sm
0.234 0.234 0.234 Dy
0.435 0.435 0.435 Dy
0.835 0.835 0.835 Cu

---

SmDyCu, relaxed, DFT PBE; calculated volume = 77 Å³ per cell; total magnetic moment = 0.00 μB per formula unit; E_form = -0.11 eV per atom; final energy = -4.58 eV/atom; excess energy over the best structure of this formula in the dataset = 25 meV/atom
1.0
-1.755 1.755 6.238
1.755 -1.755 6.238
1.755 1.755 -6.238
Sm Dy Cu
1 1 1
Direct
0.000 0.000 0.000 Sm
0.722 0.722 0.000 Dy
0.352 0.352 0.000 Cu

---

SmDy4Cu4, relaxed, DFT PBE; calculated volume = 449 Å³ per cell; total magnetic moment = 0.00 μB per formula unit; E_form = -0.03 eV per atom; final energy = -4.42 eV/atom
1.0
8.835 0.000 0.000
0.000 8.835 0.000
0.000 0.000 5.749
Sm Dy Cu
2 8 8
Direct
0.250 0.250 0.250 Sm
0.750 0.750 0.750 Sm
0.069 0.661 0.151 Dy
0.161 0.931 0.651 Dy
0.339 0.569 0.651 Dy
0.431 0.839 0.151 Dy
0.569 0.161 0.849 Dy
0.661 0.431 0.349 Dy
0.839 0.069 0.349 Dy
0.931 0.339 0.849 Dy
0.027 0.611 0.634 Cu
0.111 0.973 0.134 Cu
0.389 0.527 0.134 Cu
0.473 0.889 0.634 Cu
0.527 0.111 0.366 Cu
0.611 0.473 0.866 Cu
0.889 0.027 0.866 Cu
0.973 0.389 0.366 Cu

---

SmDy2Cu, relaxed, DFT PBE; calculated volume = 438 Å³ per cell; total magnetic moment = 0.00 μB per formula unit; E_form = -0.09 eV per atom; final energy = -4.60 eV/atom; excess energy over the best structure of this formula in the dataset = 7 meV/atom
1.0
6.841 0.000 0.000
0.000 9.850 0.000
0.000 0.000 6.497
Sm Dy Cu
4 8 4
Direct
0.012 0.250 0.135 Sm
0.488 0.750 0.635 Sm
0.512 0.250 0.365 Sm
0.988 0.750 0.865 Sm
0.185 0.058 0.680 Dy
0.185 0.442 0.680 Dy
0.315 0.558 0.180 Dy
0.315 0.942 0.180 Dy
0.685 0.058 0.820 Dy
0.685 0.442 0.820 Dy
0.815 0.558 0.320 Dy
0.815 0.942 0.320 Dy
0.104 0.750 0.436 Cu
0.396 0.250 0.936 Cu
0.604 0.750 0.064 Cu
0.896 0.250 0.564 Cu

---

SmDy3Cu, relaxed, DFT PBE; calculated volume = 156 Å³ per cell; total magnetic moment = 0.00 μB per formula unit; E_form = 0.10 eV per atom; final energy = -4.43 eV/atom
1.0
5.379 0.000 0.000
0.000 5.379 0.000
0.000 0.000 5.379
Sm Dy Cu
1 3 1
Direct
0.000 0.000 0.000 Sm
0.000 0.500 0.500 Dy
0.500 0.000 0.500 Dy
0.500 0.500 0.000 Dy
0.500 0.500 0.500 Cu

---

no.,DOS at the Fermi energy (states/eV/f.u.)
1,7.687
2,3.165
3,5.046
4,3.008
5,2.744
6,5.829
7,4.322
8,4.120
9,4.552
10,2.837
11,5.126
12,5.364
13,5.908
14,7.522
15,5.107
16,5.229
17,3.240
18,13.662
19,4.995
20,5.943